The following is a DFT calculation (PBE-GGA) of VFe3B after structural relaxation.

Results
* energy relative to the elements: 1854 meV per atom

Cell: 4.200 4.200 4.200 Å, 90.00 90.00 90.00°
Space group Pm-3m (No. 221)
One atom of each set of equivalent atoms:
V1 0.000 0.000 0.000 x1
Fe1 0.000 0.000 0.500 x3
B1 0.500 0.500 0.500 x1

***

The following is a DFT calculation (PBE-GGA) of Mg2ZnSi after structural relaxation.

Results
* energy relative to the elements, uncorrected: 27 meV per atom

Cell: 3.031 3.031 7.785 Å, 90.00 90.00 90.00°
Space group P4/mmm (No. 123)
One atom of each set of equivalent atoms:
Mg1 0.000 0.000 0.248 x2
Zn1 0.500 0.500 0.500 x1
Si1 0.500 0.500 0.000 x1

***

The following is a DFT calculation (PBE-GGA) of Li3Pt after structural relaxation.

Results
* energy relative to the elements: -394 meV per atom
* relative energy among the computed polymorphs: 29 meV per atom

Cell: 5.4342 5.4342 4.4782 Å, 90.00 90.00 120.00°
Space group P6_3/mmc (No. 194)
One atom of each set of equivalent atoms:
Li1 0.1766 0.3532 0.2500 x6
Pt1 0.3333 0.6667 0.7500 x2

***

The following is a DFT calculation (PBE-GGA) of InHg2 after structural relaxation.

Results
* energy relative to the elements: 1 meV per atom

Cell: 6.406 5.049 9.821 Å, 90.00 90.00 90.00°
Space group Pnma (No. 62)
One atom of each set of equivalent atoms:
In1 0.143 0.250 0.098 x4
Hg1 0.104 0.250 0.762 x4
Hg2 0.140 0.250 0.429 x4

***

The following is a DFT calculation (PBE-GGA) of Pr3Dy4Y5 after structural relaxation.

Results
* energy relative to the elements: 233 meV per atom
* relative energy among the computed polymorphs: 214 meV per atom

Cell: 16.162 5.967 9.323 Å, 90.00 116.22 90.00°
Space group C2/m (No. 12)
One atom of each set of equivalent atoms:
Pr1 0.000 0.000 0.000 x2
Pr2 0.208 0.500 0.229 x4
Dy1 0.082 0.500 0.442 x4
Dy2 0.209 0.500 0.876 x4
Y1 0.000 0.500 0.000 x2
Y2 0.074 0.000 0.699 x4
Y3 0.172 0.000 0.389 x4

***

The following is a DFT calculation (PBE-GGA) of CaTaC2 after structural relaxation.

Results
* energy relative to the elements: 2 meV per atom
* relative energy among the computed polymorphs: 0 meV per atom

Cell: 3.2961 3.2961 17.2032 Å, 90.00 90.00 120.00°
Space group R-3m (No. 166, hexagonal axes)
One atom of each set of equivalent atoms:
Ca1 0.0000 0.0000 0.0000 x3
Ta1 0.0000 0.0000 0.5000 x3
C1 0.0000 0.0000 0.2339 x6

***

The following is a DFT calculation (PBE-GGA) of ZrFe2 after structural relaxation.

Results
* energy relative to the elements: 139 meV per atom

Cell: 4.659 4.659 8.626 Å, 90.00 90.00 90.00°
Space group I4/mcm (No. 140)
One atom of each set of equivalent atoms:
Zr1 0.000 0.000 0.250 x4
Fe1 0.188 0.312 0.000 x8

***

The following is a DFT calculation (PBE-GGA) of Ti6Ni5Os after structural relaxation.

Results
* energy relative to the elements: -415 meV per atom

Cell: 4.438 5.807 6.776 Å, 90.00 107.87 90.00°
Space group P2/m (No. 10)
One atom of each set of equivalent atoms:
Ti1 0.000 0.248 0.000 x2
Ti2 0.357 0.249 0.660 x4
Ni1 0.106 0.000 0.326 x2
Ni2 0.108 0.500 0.329 x2
Ni3 0.500 0.000 0.000 x1
Os1 0.500 0.500 0.000 x1

***

The following is a DFT calculation (PBE-GGA) of Cs2UHgSe4 after structural relaxation.

Results
* energy relative to the elements, uncorrected: -892 meV per atom

Cell: 6.597 15.359 26.625 Å, 90.00 90.00 90.00°
Space group Fddd (No. 70, origin choice 2)
One atom of each set of equivalent atoms:
Cs1 0.125 0.125 0.305 x16
U1 0.125 0.125 0.125 x8
Hg1 0.125 0.125 0.625 x8
Se1 0.117 0.271 0.430 x32

***

The following is a DFT calculation (PBE-GGA) of YRe2Tc after structural relaxation.

Results
* energy relative to the elements: 374 meV per atom
* relative energy among the computed polymorphs: 174 meV per atom

Cell: 2.842 4.562 5.353 Å, 90.00 100.91 90.00°
Space group P2/m (No. 10)
One atom of each set of equivalent atoms:
Y1 0.000 0.000 0.000 x1
Re1 0.252 0.500 0.733 x2
Tc1 0.500 0.000 0.500 x1

***

The following is a DFT calculation (PBE-GGA) of LiAlGeIr2 after structural relaxation.

Results
* energy relative to the elements: 506 meV per atom

Cell: 4.258 4.258 4.025 Å, 90.00 90.00 90.00°
Space group P4/mmm (No. 123)
One atom of each set of equivalent atoms:
Li1 0.000 0.000 0.000 x1
Al1 0.500 0.500 0.500 x1
Ge1 0.000 0.000 0.500 x1
Ir1 0.000 0.500 0.000 x2

***

The following is a DFT calculation (PBE-GGA) of PmPrSiAu after structural relaxation.

Results
* energy relative to the elements, uncorrected: -613 meV per atom

Cell: 7.384 7.384 7.384 Å, 90.00 90.00 90.00°
Space group F-43m (No. 216)
One atom of each set of equivalent atoms:
Pm1 0.000 0.000 0.000 x4
Pr1 0.000 0.000 0.500 x4
Si1 0.250 0.250 0.750 x4
Au1 0.250 0.250 0.250 x4

***

The following is a DFT calculation (PBE-GGA) of Ta2Ag2P after structural relaxation.

Results
* energy relative to the elements: 825 meV per atom
* relative energy among the computed polymorphs: 109 meV per atom

Cell: 3.710 3.710 14.307 Å, 90.00 90.00 90.00°
Space group I4/mmm (No. 139)
One atom of each set of equivalent atoms:
Ta1 0.000 0.500 0.250 x4
Ag1 0.000 0.000 0.094 x4
P1 0.000 0.000 0.500 x2

***

The following is a DFT calculation (PBE-GGA) of Li3FeBr after structural relaxation.

Results
* energy relative to the elements, uncorrected: 350 meV per atom
* relative energy among the computed polymorphs: 189 meV per atom

Cell: 4.956 4.956 4.956 Å, 90.00 90.00 90.00°
Space group Pm-3m (No. 221)
One atom of each set of equivalent atoms:
Li1 0.000 0.000 0.500 x3
Fe1 0.000 0.000 0.000 x1
Br1 0.500 0.500 0.500 x1

***

The following is a DFT calculation (PBE-GGA) of Sn3SeI after structural relaxation.

Results
* energy relative to the elements, uncorrected: 923 meV per atom
* relative energy among the computed polymorphs: 613 meV per atom

Cell: 5.890 5.890 5.890 Å, 90.00 90.00 90.00°
Space group Pm-3m (No. 221)
One atom of each set of equivalent atoms:
Sn1 0.000 0.000 0.500 x3
Se1 0.500 0.500 0.500 x1
I1 0.000 0.000 0.000 x1

***

The following is a DFT calculation (PBE-GGA) of ScNb3B after structural relaxation.

Results
* energy relative to the elements: 27 meV per atom
* relative energy among the computed polymorphs: 0 meV per atom

Cell: 4.469 4.469 4.469 Å, 90.00 90.00 90.00°
Space group Pm-3m (No. 221)
One atom of each set of equivalent atoms:
Sc1 0.000 0.000 0.000 x1
Nb1 0.000 0.500 0.500 x3
B1 0.500 0.500 0.500 x1

***

Number 1: calculated density 5.137 g cm⁻³. Number 2: calculated density 3.299 g cm⁻³. Number 3: calculated density 6.261 g cm⁻³. Number 4: calculated density 10.790 g cm⁻³. Number 5: calculated density 6.248 g cm⁻³. Number 6: calculated density 7.542 g cm⁻³. Number 7: calculated density 7.197 g cm⁻³. Number 8: calculated density 7.701 g cm⁻³. Number 9: calculated density 5.024 g cm⁻³. Number 10: calculated density 13.630 g cm⁻³. Number 11: calculated density 11.170 g cm⁻³. Number 12: calculated density 8.431 g cm⁻³. Number 13: calculated density 10.263 g cm⁻³. Number 14: calculated density 2.135 g cm⁻³. Number 15: calculated density 4.567 g cm⁻³. Number 16: calculated density 6.221 g cm⁻³.